#A
Li3YNb: optimized geometry, PBE.

Unit cell a=4.938 b=4.938 c=4.938 alpha=90.00 beta=90.00 gamma=90.00
Positions (direct):
1 Li 0.000 0.000 0.500
2 Li 0.000 0.500 0.000
3 Li 0.500 0.000 0.000
4 Y 0.500 0.500 0.500
5 Nb 0.000 0.000 0.000

Properties
Its density of states at the Fermi level is 2.52 states/eV/cell. Its space group is Pm-3m.

***

#B
Li3YNb: optimized geometry, PBE.

Unit cell a=4.657 b=4.657 c=4.657 alpha=90.00 beta=90.00 gamma=90.00
Positions (direct):
1 Li 0.000 0.000 0.500
2 Li 0.000 0.500 0.000
3 Li 0.500 0.000 0.000
4 Y 0.000 0.000 0.000
5 Nb 0.500 0.500 0.500

Properties
Its density of states at the Fermi level is 4.89 states/eV/cell. Its space group is Pm-3m.

***

Relative to the most stable structure, the computed energies are #A 0.000; #B 0.505, all in eV/atom.